[1]
VASP calculation (GGA-PBE) on a relaxed structure of TbY2Er.

```
4
Lattice="1.792 1.034 11.446 -1.792 1.034 11.446 0.000 -2.069 11.446" Properties=species:S:1:pos:R:3 pbc="T T T"
Tb 0.000 0.000 0.000
Y 0.000 0.000 14.346
Y 0.000 0.000 20.009
Er 0.000 0.000 28.639
```

E ... -22.09 eV for the cell shown
Total magnetization ... 0.00 μB/cell
E_form ... 0.009 eV/atom
Relative energy among the computed polymorphs ... 0.0049 eV/atom

[2]
VASP calculation (GGA-PBE) on a relaxed structure of Tb3Y2Er3.

```
8
Lattice="11.882 -1.780 0.000 11.882 1.780 0.000 -1.594 0.000 5.954" Properties=species:S:1:pos:R:3 pbc="T T T"
Tb 0.000 0.000 0.000
Tb 2.219 0.000 2.729
Tb 19.952 0.000 3.225
Y 5.542 0.000 1.487
Y 16.629 0.000 4.467
Er 8.860 0.000 0.250
Er 11.085 0.000 2.977
Er 13.311 0.000 5.704
```

E ... -40.47 eV for the cell shown
Total magnetization ... 0.00 μB/cell
E_form ... 0.005 eV/atom
Relative energy among the computed polymorphs ... 0.0000 eV/atom

[3]
VASP calculation (GGA-PBE) on a relaxed structure of TbYEr2.

```
4
Lattice="1.783 1.030 11.392 -1.783 1.030 11.392 0.000 -2.059 11.392" Properties=species:S:1:pos:R:3 pbc="T T T"
Tb 0.000 0.000 0.000
Y 0.000 0.000 28.509
Er 0.000 0.000 14.253
Er 0.000 0.000 19.944
```

E ... -20.18 eV for the cell shown
Total magnetization ... 0.00 μB/cell
E_form ... 0.009 eV/atom
Relative energy among the computed polymorphs ... 0.0000 eV/atom

[4]
VASP calculation (GGA-PBE) on a relaxed structure of Tb2Y5Er5.

```
12
Lattice="7.515 -2.502 0.000 7.515 2.502 0.000 -5.012 0.000 10.030" Properties=species:S:1:pos:R:3 pbc="T T T"
Tb -0.008 0.000 2.519
Tb 10.026 0.000 7.511
Y -2.506 0.000 5.015
Y -2.520 0.000 10.023
Y 0.000 0.000 7.511
Y 10.018 0.000 2.518
Y 12.538 0.000 0.006
Er 2.499 0.000 5.012
Er 5.020 0.000 2.511
Er 7.515 0.000 0.000
Er 4.998 0.000 7.519
Er 7.519 0.000 5.017
```

E ... -64.10 eV for the cell shown
Total magnetization ... 0.00 μB/cell
E_form ... 0.024 eV/atom
Relative energy among the computed polymorphs ... 0.0000 eV/atom

[5]
VASP calculation (GGA-PBE) on a relaxed structure of Tb2YEr9.

```
12
Lattice="11.122 0.000 0.000 -5.561 9.632 0.000 0.000 0.000 3.481" Properties=species:S:1:pos:R:3 pbc="T T T"
Tb 0.000 6.421 0.000
Tb 5.561 3.211 0.000
Y 0.000 0.000 0.000
Er -2.780 4.816 0.000
Er 0.000 3.398 1.741
Er -2.619 7.933 1.741
Er 2.942 1.699 1.741
Er 5.561 0.000 0.000
Er 2.780 4.816 0.000
Er 2.619 7.933 1.741
Er 8.180 1.699 1.741
Er 5.561 6.234 1.741
```

E ... -56.13 eV for the cell shown
Total magnetization ... 0.00 μB/cell
E_form ... 0.055 eV/atom
Relative energy among the computed polymorphs ... 0.0314 eV/atom

[6]
VASP calculation (GGA-PBE) on a relaxed structure of TbY3Er3.

```
14
Lattice="3.078 1.777 14.118 -3.078 1.777 14.118 0.000 -3.555 14.118" Properties=species:S:1:pos:R:3 pbc="T T T"
Tb 0.000 0.000 7.060
Tb 0.000 0.000 35.295
Y -1.028 -1.779 18.334
Y -2.055 0.000 24.020
Y -1.027 1.780 18.334
Y 1.027 -1.780 24.020
Y 2.055 0.000 18.334
Y 1.028 1.779 24.020
Er -2.042 0.001 15.524
Er -1.022 -1.768 26.831
Er 1.020 -1.769 15.524
Er -1.020 1.769 26.831
Er 1.022 1.768 15.524
Er 2.042 -0.001 26.831
```

E ... -73.44 eV for the cell shown
Total magnetization ... 0.00 μB/cell
E_form ... 0.141 eV/atom
Relative energy among the computed polymorphs ... 0.0000 eV/atom

[7]
VASP calculation (GGA-PBE) on a relaxed structure of Tb4Y7Er.

```
12
Lattice="6.044 -2.938 0.000 6.044 2.938 0.000 -6.005 0.000 11.261" Properties=species:S:1:pos:R:3 pbc="T T T"
Tb 0.068 0.000 3.105
Tb -1.706 0.000 9.315
Tb 7.790 0.000 1.946
Tb 6.015 0.000 8.156
Y -3.002 0.000 5.630
Y -4.382 0.000 11.225
Y 0.030 0.000 6.487
Y 4.118 0.000 2.112
Y 1.966 0.000 9.149
Y 6.054 0.000 4.774
Y 10.466 0.000 0.036
Er 3.042 0.000 5.630
```

E ... -64.78 eV for the cell shown
Total magnetization ... 0.48 μB/cell
E_form ... 0.296 eV/atom
Relative energy among the computed polymorphs ... 0.2075 eV/atom

[8]
VASP calculation (GGA-PBE) on a relaxed structure of Tb7YEr3.

```
11
Lattice="6.992 0.000 0.000 0.000 5.524 0.000 -3.411 0.000 9.234" Properties=species:S:1:pos:R:3 pbc="T T T"
Tb 0.000 0.000 0.000
Tb 0.033 2.762 2.690
Tb 0.067 2.762 5.929
Tb 0.097 0.000 7.671
Tb 3.484 0.000 1.563
Tb 3.514 2.762 3.305
Tb 3.548 2.762 6.544
Y -1.706 0.000 4.617
Er -1.452 2.762 9.220
Er 1.790 0.000 4.617
Er 5.033 2.762 0.014
```

E ... -51.06 eV for the cell shown
Total magnetization ... 0.00 μB/cell
E_form ... 0.137 eV/atom
Relative energy among the computed polymorphs ... 0.0000 eV/atom

[9]
VASP calculation (GGA-PBE) on a relaxed structure of TbYEr4.

```
6
Lattice="0.000 4.614 4.614 4.614 0.000 4.614 4.614 4.614 0.000" Properties=species:S:1:pos:R:3 pbc="T T T"
Tb 0.000 0.000 0.000
Y 6.921 6.921 6.921
Er 3.461 3.461 3.461
Er 5.766 5.766 3.461
Er 5.766 3.461 5.766
Er 3.461 5.766 5.766
```

E ... -27.80 eV for the cell shown
Total magnetization ... 0.92 μB/cell
E_form ... 0.257 eV/atom
Relative energy among the computed polymorphs ... 0.2365 eV/atom

[10]
VASP calculation (GGA-PBE) on a relaxed structure of Tb9Y3Er2.

```
14
Lattice="6.246 0.000 0.000 0.309 8.678 0.000 1.937 1.456 8.428" Properties=species:S:1:pos:R:3 pbc="T T T"
Tb 0.000 0.000 0.000
Tb 1.047 2.990 1.658
Tb 2.195 5.904 3.366
Tb 4.296 7.246 8.391
Tb 3.971 2.695 3.514
Tb 4.521 7.438 4.914
Tb 4.196 2.887 0.038
Tb 6.297 4.229 5.062
Tb 7.445 7.144 6.770
Y 0.968 0.728 4.214
Y 3.151 4.392 6.531
Y 5.341 5.741 1.897
Er 3.476 8.677 1.674
Er 5.017 1.456 6.755
```

E ... -68.57 eV for the cell shown
Total magnetization ... 0.00 μB/cell
E_form ... 0.116 eV/atom

[11]
VASP calculation (GGA-PBE) on a relaxed structure of Tb3YEr5.

```
18
Lattice="8.665 -4.599 0.000 8.665 4.599 0.000 0.000 0.000 7.181" Properties=species:S:1:pos:R:3 pbc="T T T"
Tb 0.000 0.000 0.000
Tb 0.000 0.000 3.590
Tb 3.301 0.005 1.795
Tb 3.301 -0.005 5.386
Tb 14.029 0.005 1.795
Tb 14.029 -0.005 5.386
Y 8.665 1.391 1.795
Y 8.665 -1.391 5.386
Er 5.870 1.678 3.604
Er 5.870 1.678 7.167
Er 8.665 1.877 5.386
Er 11.460 1.678 3.604
Er 11.460 1.678 7.167
Er 5.870 -1.678 0.014
Er 5.870 -1.678 3.576
Er 8.665 -1.877 1.795
Er 11.460 -1.678 0.014
Er 11.460 -1.678 3.576
```

E ... -83.96 eV for the cell shown
Total magnetization ... 0.00 μB/cell
E_form ... 0.132 eV/atom
Relative energy among the computed polymorphs ... 0.0000 eV/atom

[12]
VASP calculation (GGA-PBE) on a relaxed structure of TbY6Er3.

```
20
Lattice="4.819 -10.442 0.000 4.819 10.442 0.000 0.000 0.000 6.378" Properties=species:S:1:pos:R:3 pbc="T T T"
Tb 4.819 7.074 3.189
Tb 4.819 -7.074 0.000
Y 4.819 10.122 1.927
Y 3.116 4.569 5.176
Y 3.075 1.242 0.351
Y 4.819 4.160 1.725
Y 3.075 -1.242 3.540
Y 6.522 4.569 5.176
Y 3.116 -4.569 1.988
Y 6.563 1.242 0.351
Y 4.819 -4.160 4.914
Y 6.563 -1.242 3.540
Y 6.522 -4.569 1.988
Y 4.819 -10.122 5.116
Er 1.623 2.644 3.016
Er 1.623 -2.644 6.205
Er 4.819 1.705 3.697
Er 4.819 -1.705 0.508
Er 8.015 2.644 3.016
Er 8.015 -2.644 6.205
```

E ... -111.85 eV for the cell shown
Total magnetization ... 0.00 μB/cell
E_form ... 0.118 eV/atom
Relative energy among the computed polymorphs ... 0.0000 eV/atom

[13]
VASP calculation (GGA-PBE) on a relaxed structure of Tb3Y4Er8.

```
15
Lattice="3.445 1.989 11.696 -3.445 1.989 11.696 0.000 -3.978 11.696" Properties=species:S:1:pos:R:3 pbc="T T T"
Tb -1.722 -0.994 11.696
Tb -1.722 0.994 23.393
Tb 0.000 1.989 11.696
Y 0.000 0.000 0.000
Y 0.000 0.000 5.749
Y 0.000 0.000 17.545
Y 0.000 0.000 29.340
Er 0.000 -1.978 14.610
Er -1.713 0.989 14.610
Er -1.713 -0.989 20.479
Er 0.000 0.000 8.956
Er 0.000 0.000 26.133
Er 1.713 0.989 14.610
Er 1.713 -0.989 20.479
Er 0.000 1.978 20.479
```

E ... -74.22 eV for the cell shown
Total magnetization ... 0.12 μB/cell
E_form ... 0.136 eV/atom
Relative energy among the computed polymorphs ... 0.0000 eV/atom

[14]
VASP calculation (GGA-PBE) on a relaxed structure of TbYEr2.

```
4
Lattice="3.537 0.000 0.000 0.000 3.537 0.000 0.000 0.000 10.002" Properties=species:S:1:pos:R:3 pbc="T T T"
Tb 0.000 0.000 0.000
Y 0.000 0.000 5.001
Er 1.769 1.769 2.490
Er 1.769 1.769 7.512
```

E ... -20.13 eV for the cell shown
Total magnetization ... 0.00 μB/cell
E_form ... 0.023 eV/atom
Relative energy among the computed polymorphs ... 0.0139 eV/atom

[15]
VASP calculation (GGA-PBE) on a relaxed structure of TbY2Er.

```
4
Lattice="0.000 4.012 4.012 4.012 0.000 4.012 4.012 4.012 0.000" Properties=species:S:1:pos:R:3 pbc="T T T"
Tb 0.000 0.000 0.000
Y 2.006 2.006 2.006
Y 6.017 6.017 6.017
Er 4.012 4.012 4.012
```

E ... -21.57 eV for the cell shown
Total magnetization ... 0.03 μB/cell
E_form ... 0.137 eV/atom
Relative energy among the computed polymorphs ... 0.1334 eV/atom

[16]
VASP calculation (GGA-PBE) on a relaxed structure of Tb4YEr6.

```
11
Lattice="-3.808 3.808 6.472 3.808 -3.808 6.472 3.808 3.808 -6.472" Properties=species:S:1:pos:R:3 pbc="T T T"
Tb 2.516 2.516 -0.981
Tb 1.292 -1.292 7.453
Tb 1.292 1.292 5.491
Tb -1.292 1.292 7.453
Y 0.000 0.000 0.000
Er 3.808 0.000 0.000
Er 1.936 -1.936 4.087
Er 1.872 1.872 2.385
Er 0.000 3.808 0.000
Er -1.936 1.936 4.087
Er 1.936 1.936 8.857
```

E ... -47.36 eV for the cell shown
Total magnetization ... 0.00 μB/cell
E_form ... 0.455 eV/atom
Relative energy among the computed polymorphs ... 0.3299 eV/atom

[17]
VASP calculation (GGA-PBE) on a relaxed structure of TbYEr6.

```
8
Lattice="5.570 -2.490 0.000 5.570 2.490 0.000 -4.441 0.000 8.894" Properties=species:S:1:pos:R:3 pbc="T T T"
Tb 0.000 0.000 0.000
Y -2.220 0.000 4.447
Er 1.120 0.000 3.331
Er -1.101 0.000 7.786
Er 4.466 0.000 2.219
Er 2.234 0.000 6.674
Er 7.801 0.000 1.108
Er 5.579 0.000 5.563
```

E ... -38.30 eV for the cell shown
Total magnetization ... 0.00 μB/cell
E_form ... 0.022 eV/atom
Relative energy among the computed polymorphs ... 0.0000 eV/atom

[18]
VASP calculation (GGA-PBE) on a relaxed structure of Tb5Y2Er4.

```
11
Lattice="8.261 -3.309 0.000 8.261 3.309 0.000 -1.226 0.000 6.488" Properties=species:S:1:pos:R:3 pbc="T T T"
Tb 0.000 0.000 0.000
Tb 6.074 1.564 3.870
Tb 9.221 1.564 2.617
Tb 6.074 -1.564 3.870
Tb 9.221 -1.564 2.617
Y 2.349 0.000 5.237
Y 12.947 0.000 1.251
Er 3.652 0.000 2.067
Er 6.672 0.000 0.618
Er 8.624 0.000 5.870
Er 11.643 0.000 4.421
```

E ... -52.46 eV for the cell shown
Total magnetization ... 0.01 μB/cell
E_form ... 0.170 eV/atom
Relative energy among the computed polymorphs ... 0.0300 eV/atom

[19]
VASP calculation (GGA-PBE) on a relaxed structure of Tb4YEr7.

```
12
Lattice="6.016 -2.913 0.000 6.016 2.913 0.000 -5.991 0.000 11.103" Properties=species:S:1:pos:R:3 pbc="T T T"
Tb -0.014 0.000 3.060
Tb -1.829 0.000 9.100
Tb 7.870 0.000 2.003
Tb 6.056 0.000 8.043
Y 3.021 0.000 5.552
Er -2.995 0.000 5.552
Er 1.610 0.000 0.006
Er 0.001 0.000 6.399
Er 4.224 0.000 1.966
Er 1.818 0.000 9.137
Er 6.041 0.000 4.704
Er 4.432 0.000 11.097
```

E ... -53.44 eV for the cell shown
Total magnetization ... 0.45 μB/cell
E_form ... 0.290 eV/atom
Relative energy among the computed polymorphs ... 0.2020 eV/atom

[20]
VASP calculation (GGA-PBE) on a relaxed structure of Tb2Y3Er6.

```
11
Lattice="-2.353 2.353 16.467 2.353 -2.353 16.467 2.353 2.353 -16.467" Properties=species:S:1:pos:R:3 pbc="T T T"
Tb 0.000 0.000 1.519
Tb 0.000 0.000 31.415
Y 0.000 0.000 9.798
Y 0.000 0.000 16.467
Y 0.000 0.000 23.136
Er 2.353 0.000 3.981
Er 0.000 0.000 6.359
Er 2.353 0.000 12.486
Er 0.000 2.353 3.981
Er 0.000 0.000 26.575
Er 0.000 2.353 12.486
```

E ... -53.00 eV for the cell shown
Total magnetization ... 0.00 μB/cell
E_form ... 0.276 eV/atom
Relative energy among the computed polymorphs ... 0.1899 eV/atom

Density of states at the Fermi level values (in states/eV/f.u.) by entry order: 6.527, 11.305, 6.263, 17.622, 20.254, 10.331, 21.690, 16.925, 11.150, 22.021, 11.603, 15.797, 23.018, 5.278, 10.864, 15.128, 10.769, 17.963, 20.307, 17.881.